RbNaCdP2 | the Alexandria database | PBE | optimized geometry; formation enthalpy at 0 K = 1.15 eV per atom; space group = P4/mmm
1.0
5.724 0.000 0.000
0.000 6.227 0.000
0.000 0.000 5.724
P Na Rb Cd
2 1 1 1
Direct
0.000 0.000 0.500
0.500 0.000 0.000
0.500 0.500 0.500
0.000 0.000 0.000
0.000 0.500 0.000


Ge3RhSe | the Alexandria database | PBE | optimized geometry; VASP energy = -4.911 eV/atom; space group = Pm-3m
1.0
4.792 0.000 0.000
0.000 4.792 0.000
0.000 0.000 4.792
Ge Rh Se
3 1 1
Direct
0.000 0.500 0.000
0.000 0.000 0.500
0.500 0.000 0.000
0.000 0.000 0.000
0.500 0.500 0.500


AlP2Pt | the Alexandria database | PBE | optimized geometry; formation enthalpy at 0 K = -0.24 eV per atom; space group = Pm
1.0
3.216 0.000 0.000
0.000 3.955 -0.026
0.000 2.011 5.183
P Al Pt
2 1 1
Direct
0.000 0.089 0.046
0.500 0.388 0.169
0.500 0.737 0.693
0.000 0.286 0.592


Be2InIr | the Alexandria database | PBE | optimized geometry; formation enthalpy at 0 K = -0.06 eV per atom; space group = P4mm
1.0
-1.949 -1.861 1.315
2.051 -0.677 2.080
-1.986 4.499 3.424
Be Ir In
2 1 1
Direct
0.000 0.000 0.996
0.500 0.500 0.192
0.500 0.500 0.825
0.000 0.000 0.487


Ce3Co2Ni | the Alexandria database | PBE | optimized geometry; formation enthalpy at 0 K = -0.20 eV per atom; space group = P2_1/c
1.0
2.260 -3.192 -4.743
-1.140 -8.467 5.154
-8.365 1.267 0.231
Ce Co Ni
12 8 4
Direct
0.385 0.870 0.038
0.115 0.370 0.462
0.615 0.130 0.962
0.885 0.630 0.538
0.316 0.521 0.172
0.184 0.021 0.328
0.684 0.479 0.828
0.816 0.979 0.672
0.856 0.719 0.189
0.644 0.219 0.311
0.144 0.281 0.811
0.356 0.781 0.689
0.820 0.921 0.407
0.680 0.421 0.093
0.180 0.079 0.593
0.320 0.579 0.907
0.342 0.592 0.457
0.158 0.092 0.043
0.658 0.408 0.543
0.842 0.908 0.957
0.459 0.793 0.364
0.041 0.293 0.136
0.541 0.207 0.636
0.959 0.707 0.864


Tb2Nd2DySc2 | the Alexandria database | PBE | optimized geometry; formation enthalpy at 0 K = 0.15 eV per atom; space group = C2/m
1.0
-1.695 -1.172 2.722
-5.336 -1.990 -6.321
6.348 -5.565 1.558
Tb Nd Dy Sc
2 2 1 2
Direct
0.917 0.835 0.790
0.083 0.165 0.210
0.640 0.279 0.908
0.360 0.721 0.092
0.000 0.000 0.500
0.778 0.556 0.361
0.222 0.444 0.639


Rb2VFe | the Alexandria database | PBE | optimized geometry; formation enthalpy at 0 K = 1.10 eV per atom; space group = I-42d
1.0
-6.453 -11.592 -1.446
8.802 -3.739 -9.309
2.445 -8.568 -3.813
Fe Rb V
2 4 2
Direct
0.000 0.000 0.000
0.750 0.250 0.500
0.802 0.125 0.250
0.948 0.625 0.250
0.375 0.198 0.750
0.875 0.052 0.750
0.500 0.500 0.000
0.250 0.750 0.500


Be4ZnIr5 | the Alexandria database | PBE | optimized geometry; formation enthalpy at 0 K = -0.45 eV per atom; space group = P4/mmm
1.0
-1.458 2.408 0.236
-2.088 -1.113 -1.544
-6.324 -5.025 12.174
Be Zn Ir
4 1 5
Direct
0.000 0.000 0.214
0.000 0.000 0.405
0.000 0.000 0.595
0.000 0.000 0.786
0.000 0.000 0.000
0.500 0.500 0.120
0.500 0.500 0.310
0.500 0.500 0.500
0.500 0.500 0.690
0.500 0.500 0.880


In3GaMo | the Alexandria database | PBE | optimized geometry; formation enthalpy at 0 K = 1.06 eV per atom; space group = Pm-3m
1.0
-2.350 0.431 -4.678
4.146 -2.269 -2.292
-2.209 -4.718 0.675
Mo Ga In
1 1 3
Direct
0.500 0.500 0.500
0.000 0.000 0.000
0.000 0.500 0.000
0.000 0.000 0.500
0.500 0.000 0.000


Rb2NaBrF6 | the Alexandria database | PBE | optimized geometry; VASP energy = -3.537 eV/atom; space group = I4/mmm
1.0
-0.247 6.573 -0.251
-4.827 -0.352 -4.461
-5.398 3.121 0.739
Na Br Rb F
1 1 2 6
Direct
0.500 0.500 0.000
0.000 0.000 0.000
0.750 0.250 0.500
0.250 0.750 0.500
0.227 0.227 0.546
0.773 0.773 0.454
0.257 0.257 0.000
0.743 0.743 0.000
0.743 0.257 0.000
0.257 0.743 0.000


ZrBi2WS | the Alexandria database | PBE | optimized geometry; VASP energy = -5.591 eV/atom; space group = P4/mmm
1.0
-1.642 -5.385 -1.186
5.512 -1.567 -0.516
0.132 -1.058 4.623
Zr S Bi W
1 1 2 1
Direct
0.000 0.000 0.000
0.000 0.000 0.500
0.000 0.500 0.000
0.500 0.000 0.000
0.500 0.500 0.500


Cs2Zn2GaBr6 | the Alexandria database | PBE | optimized geometry; VASP energy = -2.637 eV/atom; space group = C2/m
1.0
-2.834 -6.806 3.045
7.724 1.818 0.804
-5.850 4.700 5.062
Cs Zn Ga Br
2 2 1 6
Direct
0.719 0.438 0.216
0.281 0.562 0.784
0.966 0.932 0.839
0.034 0.068 0.161
0.500 0.000 0.500
0.758 0.516 0.657
0.209 0.910 0.211
0.300 0.090 0.789
0.791 0.090 0.789
0.700 0.910 0.211
0.242 0.484 0.343


Number 1: magnetization 0.63 μB per formula unit, calculated volume 204.02 Å³ per cell. Number 2: magnetization 0.00 μB per formula unit, calculated volume 110.02 Å³ per cell. Number 3: magnetization 0.00 μB per formula unit, calculated volume 66.08 Å³ per cell. Number 4: magnetization 0.00 μB per formula unit, calculated volume 53.87 Å³ per cell. Number 5: magnetization 0.00 μB per formula unit, calculated volume 460.42 Å³ per cell. Number 6: magnetization 0.00 μB per formula unit, calculated volume 217.39 Å³ per cell. Number 7: magnetization 1.35 μB per formula unit, calculated volume 393.29 Å³ per cell. Number 8: magnetization 0.00 μB per formula unit, calculated volume 116.63 Å³ per cell. Number 9: magnetization 4.33 μB per formula unit, calculated volume 144.93 Å³ per cell. Number 10: magnetization 2.00 μB per formula unit, calculated volume 182.60 Å³ per cell. Number 11: magnetization 3.60 μB per formula unit, calculated volume 157.05 Å³ per cell. Number 12: magnetization 0.73 μB per formula unit, calculated volume 425.69 Å³ per cell.